Entry from Alexandria: FeIr2Os after structural relaxation (GGA-PBE).

Results
formation energy from the elements	4.212	eV/f.u.
crystal system	trigonal
space-group type	No. 160
energy relative to the lowest polymorph listed for this composition	104.2	kJ per mole of atoms

Unit cell a=3.831 b=3.831 c=6.579 alpha=73.12 beta=73.12 gamma=60.05
Fractional coordinates of all 4 atoms:
Fe  0.241  0.686  0.176
Ir  0.119  0.564  0.540
Ir  0.608  0.053  0.074
Os  0.737  0.182  0.689